Entry from Alexandria via LeMat-Bulk: a relaxed Ca2PuNbN4 crystal (GGA-PBE).

Cell: 3.349 5.795 5.911 Å, 108.64 90.00 90.00°
Each line ends with the local moment (μB).
Element x y z (fractional)
Ca 0.500 0.000 0.500  0.02
Ca 0.000 0.500 0.500  0.04
Pu 0.500 0.500 0.000  4.30
Nb 0.000 0.000 0.000  0.27
N 0.500 0.229 0.214  -0.06
N 0.500 0.771 0.786  -0.06
N 0.000 0.245 0.786  -0.11
N 0.000 0.755 0.214  -0.11

As for the space-group type: P2/m, No. 10. The formation energy (no corrections) is -1.172 eV per atom. Its magnetic moment is 4.469 μB per formula unit. The value obtained for the calculated volume is 108.7 Å³ per cell. The calculated density is 7226 kg/m³. For the total energy, the calculation gives -71.080 eV/cell.

***

Entry from Alexandria via LeMat-Bulk: a relaxed CaPu2NbN4 crystal (GGA-PBE).

Cell: 3.418 6.191 12.429 Å, 90.00 90.00 106.02°
Each line ends with the local moment (μB).
Element x y z (fractional)
Ca 0.111 0.222 0.750  0.05
Ca 0.889 0.778 0.250  0.05
Pu 0.368 0.737 0.531  5.09
Pu 0.632 0.263 0.031  5.09
Pu 0.632 0.263 0.469  5.09
Pu 0.368 0.737 0.969  5.09
Nb 0.845 0.689 0.750  0.45
Nb 0.155 0.311 0.250  0.45
N 0.259 0.519 0.127  -0.09
N 0.741 0.481 0.627  -0.09
N 0.741 0.481 0.873  -0.09
N 0.259 0.519 0.373  -0.09
N 0.000 0.000 0.500  -0.21
N 0.000 0.000 0.000  -0.21
N 0.442 0.885 0.750  -0.03
N 0.558 0.115 0.250  -0.03

As for the space-group type: Cmcm, No. 63. The formation energy (no corrections) is -1.005 eV per atom. Its magnetic moment is 10.988 μB per formula unit. The value obtained for the calculated volume is 252.8 Å³ per cell. The calculated density is 8894 kg/m³. For the total energy, the calculation gives -164.161 eV/cell.

***

Entry from Alexandria via LeMat-Bulk: a relaxed Ca3Pu2NbN6 crystal (GGA-PBE).

Cell: 5.892 5.892 5.948 Å, 99.49 99.49 120.02°
Each line ends with the local moment (μB).
Element x y z (fractional)
Ca 0.163 0.837 0.500  0.04
Ca 0.837 0.163 0.500  0.04
Ca 0.500 0.500 0.500  0.04
Pu 0.333 0.667 0.000  4.40
Pu 0.667 0.333 0.000  4.40
Nb 0.000 0.000 0.000  0.35
N 0.929 0.611 0.786  -0.12
N 0.753 0.753 0.213  -0.12
N 0.071 0.389 0.214  -0.12
N 0.611 0.929 0.786  -0.12
N 0.247 0.247 0.787  -0.12
N 0.389 0.071 0.214  -0.12

As for the space-group type: C2/m, No. 12. The formation energy (no corrections) is -1.193 eV per atom. Its magnetic moment is 8.879 μB per formula unit. The value obtained for the calculated volume is 168.8 Å³ per cell. The calculated density is 7724 kg/m³. For the total energy, the calculation gives -109.002 eV/cell.

***

Entry from Alexandria via LeMat-Bulk: a relaxed Ca2PuNbN5 crystal (GGA-PBE).

Cell: 3.316 6.838 11.751 Å, 90.00 90.00 104.03°
Each line ends with the local moment (μB).
Element x y z (fractional)
Ca 0.840 0.681 0.799  0.00
Ca 0.078 0.157 0.662  0.00
Ca 0.160 0.319 0.299  0.00
Ca 0.922 0.843 0.162  0.00
Pu 0.539 0.077 0.937  2.59
Pu 0.461 0.923 0.437  2.59
Nb 0.765 0.530 0.541  0.04
Nb 0.235 0.470 0.041  0.04
N 0.381 0.762 0.993  -0.09
N 0.693 0.386 0.915  -0.13
N 0.491 0.982 0.781  -0.19
N 0.259 0.517 0.649  -0.03
N 0.929 0.858 0.548  -0.14
N 0.619 0.238 0.493  -0.09
N 0.307 0.614 0.415  -0.13
N 0.509 0.018 0.281  -0.19
N 0.741 0.483 0.149  -0.03
N 0.071 0.142 0.048  -0.14

As for the space-group type: Cmc2_1, No. 36. The formation energy (no corrections) is -0.849 eV per atom. Its magnetic moment is 1.993 μB per formula unit. The value obtained for the calculated volume is 258.5 Å³ per cell. The calculated density is 6259 kg/m³. For the total energy, the calculation gives -155.338 eV/cell.

***

Entry from Alexandria via LeMat-Bulk: a relaxed RbCaNb2N crystal (GGA-PBE).

Cell: 4.886 5.923 4.886 Å, 90.00 90.00 90.00°
Each line ends with the local moment (μB).
Element x y z (fractional)
Nb 0.000 0.000 0.500  0.14
Nb 0.500 0.000 0.000  0.20
Ca 0.000 0.000 0.000  0.07
Rb 0.000 0.500 0.000  0.00
N 0.500 0.500 0.500  0.07

As for the space-group type: P4/mmm, No. 123. The formation energy (no corrections) is 3.099 eV per atom. Its magnetic moment is 0.537 μB per formula unit. The value obtained for the calculated volume is 141.4 Å³ per cell. The calculated density is 3822 kg/m³. For the total energy, the calculation gives -15.940 eV/cell.

***

Entry from Alexandria via LeMat-Bulk: a relaxed Ca2NbReN5 crystal (GGA-PBE).

Cell: 3.284 6.824 10.909 Å, 90.00 90.00 103.92°
Element x y z (fractional)
Ca 0.844 0.689 0.806
Ca 0.099 0.198 0.676
Ca 0.156 0.311 0.306
Ca 0.901 0.802 0.176
Nb 0.774 0.547 0.530
Nb 0.226 0.453 0.030
Re 0.530 0.061 0.943
Re 0.470 0.939 0.443
N 0.370 0.739 0.998
N 0.678 0.356 0.902
N 0.490 0.980 0.785
N 0.277 0.555 0.652
N 0.955 0.910 0.531
N 0.630 0.261 0.498
N 0.322 0.644 0.402
N 0.510 0.020 0.285
N 0.723 0.445 0.152
N 0.045 0.090 0.031

As for the space-group type: Cmc2_1, No. 36. The formation energy (no corrections) is -0.718 eV per atom. Its magnetic moment is 0.000 μB per formula unit. The value obtained for the calculated volume is 237.3 Å³ per cell. The calculated density is 6007 kg/m³. For the total energy, the calculation gives -149.227 eV/cell.